Record 1
# Te2PbAu (PBE, relaxed)
data_Te2PbAu
_cell_length_a 6.277
_cell_length_b 6.277
_cell_length_c 6.004
_cell_angle_alpha 90.00
_cell_angle_beta 90.00
_cell_angle_gamma 90.00
_symmetry_space_group_name_H-M 'I 4/m m m'
_symmetry_Int_Tables_number 139
_symmetry_space_group_name_Hall '-I 4 2'
loop_
_atom_site_label
_atom_site_fract_x
_atom_site_fract_y
_atom_site_fract_z
Te1 0.000 0.500 0.000
Pb1 0.000 0.000 0.000
Au1 0.000 0.000 0.500
# total magnetization	0.00	μB per formula unit
# density of states at the Fermi level	2.74	states/eV/cell
# E_form (uncorrected)	-0.038	eV/atom
# V	236.6	Å³/cell

***

Record 2
# Te2PbAu2 (PBE, relaxed)
data_Te2PbAu2
_cell_length_a 4.628
_cell_length_b 4.628
_cell_length_c 12.750
_cell_angle_alpha 90.00
_cell_angle_beta 90.00
_cell_angle_gamma 90.00
_symmetry_space_group_name_H-M 'I 4/m m m'
_symmetry_Int_Tables_number 139
_symmetry_space_group_name_Hall '-I 4 2'
loop_
_atom_site_label
_atom_site_fract_x
_atom_site_fract_y
_atom_site_fract_z
Te1 0.000 0.500 0.250
Pb1 0.000 0.000 0.000
Au1 0.000 0.000 0.396
# total magnetization	0.00	μB per formula unit
# density of states at the Fermi level	3.85	states/eV/cell
# E_form (uncorrected)	0.114	eV/atom
# V	273.1	Å³/cell
# excess energy over the best structure of this formula in the dataset	136	meV/atom

***

Record 3
# TePb2Au (PBE, relaxed)
data_TePb2Au
_cell_length_a 7.626
_cell_length_b 7.626
_cell_length_c 7.626
_cell_angle_alpha 90.00
_cell_angle_beta 90.00
_cell_angle_gamma 90.00
_symmetry_space_group_name_H-M 'F -4 3 m'
_symmetry_Int_Tables_number 216
_symmetry_space_group_name_Hall 'F -4 2 3'
loop_
_atom_site_label
_atom_site_fract_x
_atom_site_fract_y
_atom_site_fract_z
Te1 0.000 0.000 0.000
Pb1 0.000 0.000 0.500
Pb2 0.250 0.250 0.250
Au1 0.250 0.250 0.750
# total magnetization	0.00	μB per formula unit
# density of states at the Fermi level	12.83	states/eV/cell
# E_form (uncorrected)	0.124	eV/atom
# V	443.5	Å³/cell

***

Record 4
# TePb2Au (PBE, relaxed)
data_TePb2Au
_cell_length_a 4.761
_cell_length_b 5.747
_cell_length_c 8.472
_cell_angle_alpha 90.00
_cell_angle_beta 90.00
_cell_angle_gamma 90.00
_symmetry_space_group_name_H-M 'I m m m'
_symmetry_Int_Tables_number 71
_symmetry_space_group_name_Hall '-I 2 2'
loop_
_atom_site_label
_atom_site_fract_x
_atom_site_fract_y
_atom_site_fract_z
Te1 0.000 0.000 0.000
Pb1 0.000 0.500 0.221
Au1 0.000 0.000 0.500
# total magnetization	0.00	μB per formula unit
# density of states at the Fermi level	2.76	states/eV/cell
# E_form (uncorrected)	-0.030	eV/atom
# V	231.8	Å³/cell

***

Record 5
# Te2PbAu (PBE, relaxed)
data_Te2PbAu
_cell_length_a 4.297
_cell_length_b 4.004
_cell_length_c 7.405
_cell_angle_alpha 90.00
_cell_angle_beta 106.26
_cell_angle_gamma 90.00
_symmetry_space_group_name_H-M 'P 1 2/m 1'
_symmetry_Int_Tables_number 10
loop_
_symmetry_equiv_pos_as_xyz
'x,y,z'
'-x,-y,-z'
'-x,y,-z'
'x,-y,z'
loop_
_atom_site_label
_atom_site_fract_x
_atom_site_fract_y
_atom_site_fract_z
Te1 0.082 0.000 0.262
Pb1 0.500 0.500 0.000
Au1 0.000 0.500 0.500
# total magnetization	0.00	μB per formula unit
# density of states at the Fermi level	1.84	states/eV/cell
# E_form (uncorrected)	-0.100	eV/atom
# V	122.3	Å³/cell

***

Record 6
# TePb4Au (PBE, relaxed)
data_TePb4Au
_cell_length_a 9.094
_cell_length_b 9.094
_cell_length_c 9.094
_cell_angle_alpha 90.00
_cell_angle_beta 90.00
_cell_angle_gamma 90.00
_symmetry_space_group_name_H-M 'F -4 3 m'
_symmetry_Int_Tables_number 216
_symmetry_space_group_name_Hall 'F -4 2 3'
loop_
_atom_site_label
_atom_site_fract_x
_atom_site_fract_y
_atom_site_fract_z
Te1 0.000 0.000 0.000
Pb1 0.125 0.125 0.375
Au1 0.250 0.250 0.750
# total magnetization	0.00	μB per formula unit
# density of states at the Fermi level	24.14	states/eV/cell
# E_form (uncorrected)	0.314	eV/atom
# V	752.1	Å³/cell

***

Record 7
# Te2PbAu2 (PBE, relaxed)
data_Te2PbAu2
_cell_length_a 8.836
_cell_length_b 8.836
_cell_length_c 3.379
_cell_angle_alpha 90.00
_cell_angle_beta 90.00
_cell_angle_gamma 90.00
_symmetry_space_group_name_H-M 'P 4/m b m'
_symmetry_Int_Tables_number 127
_symmetry_space_group_name_Hall '-P 4 2ab'
loop_
_atom_site_label
_atom_site_fract_x
_atom_site_fract_y
_atom_site_fract_z
Te1 0.199 0.301 0.000
Pb1 0.000 0.000 0.000
Au1 0.112 0.612 0.500
# total magnetization	0.00	μB per formula unit
# density of states at the Fermi level	5.82	states/eV/cell
# E_form (uncorrected)	0.099	eV/atom
# V	263.8	Å³/cell
# excess energy over the best structure of this formula in the dataset	121	meV/atom

***

Record 8
# TePb2Au (PBE, relaxed)
data_TePb2Au
_cell_length_a 4.457
_cell_length_b 4.457
_cell_length_c 6.246
_cell_angle_alpha 90.00
_cell_angle_beta 90.00
_cell_angle_gamma 90.00
_symmetry_space_group_name_H-M 'P 4/m m m'
_symmetry_Int_Tables_number 123
_symmetry_space_group_name_Hall '-P 4 2'
loop_
_atom_site_label
_atom_site_fract_x
_atom_site_fract_y
_atom_site_fract_z
Te1 0.000 0.000 0.000
Pb1 0.000 0.000 0.500
Pb2 0.500 0.500 0.000
Au1 0.500 0.500 0.500
# total magnetization	0.00	μB per formula unit
# density of states at the Fermi level	0.90	states/eV/cell
# E_form (uncorrected)	-0.147	eV/atom
# V	124.1	Å³/cell

***

> What is the formula in the second record?

Te2PbAu2

***

> Look up the E_form (uncorrected) of the third one.

0.124 eV/atom

***

> What is the formula in the eighth record?

TePb2Au

***

Copy entry 4 word for word.
# TePb2Au (PBE, relaxed)
data_TePb2Au
_cell_length_a 4.761
_cell_length_b 5.747
_cell_length_c 8.472
_cell_angle_alpha 90.00
_cell_angle_beta 90.00
_cell_angle_gamma 90.00
_symmetry_space_group_name_H-M 'I m m m'
_symmetry_Int_Tables_number 71
_symmetry_space_group_name_Hall '-I 2 2'
loop_
_atom_site_label
_atom_site_fract_x
_atom_site_fract_y
_atom_site_fract_z
Te1 0.000 0.000 0.000
Pb1 0.000 0.500 0.221
Au1 0.000 0.000 0.500
# total magnetization	0.00	μB per formula unit
# density of states at the Fermi level	2.76	states/eV/cell
# E_form (uncorrected)	-0.030	eV/atom
# V	231.8	Å³/cell